# 1
This record from the Alexandria database describes crystalline CdReAgGe2 at its relaxed geometry. The functional is GGA-PBE.

Magnetic moment, μB per atom: 0.725
SG: P4/mmm, No. 123
E_form, meV per atom: 1744

Lattice parameters (Å, degrees): 5.0031 5.0370 5.0031 90.00 90.00 90.00
Positions (direct):
Ag 0.0000 0.5000 0.0000
Ge 0.5000 0.0000 0.0000
Ge 0.0000 0.0000 0.5000
Re 0.5000 0.5000 0.5000
Cd 0.0000 0.0000 0.0000

# 2
This record from the Alexandria database describes crystalline NdOsRh at its relaxed geometry. The functional is GGA-PBE.

Magnetic moment, μB per atom: 0.000
SG: Cmcm, No. 63
E_form, meV per atom: 167

Lattice parameters (Å, degrees): 4.9210 4.9210 5.3913 90.00 90.00 116.95
Positions (direct):
Os 0.0000 0.0000 0.5000
Os 0.0000 0.0000 0.0000
Rh 0.6966 0.3034 0.2500
Rh 0.3034 0.6966 0.7500
Nd 0.3433 0.6567 0.2500
Nd 0.6567 0.3433 0.7500

# 3
This record from the Alexandria database describes crystalline TmPb2 at its relaxed geometry. The functional is GGA-PBE.

Magnetic moment, μB per atom: 0.000
SG: Fmmm, No. 69
E_form, meV per atom: -159

Lattice parameters (Å, degrees): 3.9213 3.9213 6.2721 108.36 108.36 89.50
Positions (direct):
Pb 0.1623 0.1623 0.3248
Pb 0.8377 0.8377 0.6752
Tm 0.5000 0.5000 0.0000